(1)
Compound: HRuRh3
Source: Alexandria
Functional: PBE
Structure: optimized geometry

The calculation puts the energy above the most stable polymorph in this dataset at 0.00 kJ per mole of atoms. Its space group is Pm-3m (221). The electronic total energy comes out at -6.84 eV/atom. For the magnetic moment, the calculation gives 0.000 μB per atom. The value obtained for the density of states at the Fermi level is 6.135 states/eV/f.u.

Unit cell a=3.8917 b=3.8917 c=3.8917 alpha=90.00 beta=90.00 gamma=90.00
Last column: nearest neighbours and their distance in Å.
Sites, in units of the cell vectors:
1 H 0.0000 0.0000 0.0000  6 Rh 1.95
2 Ru 0.5000 0.5000 0.5000  12 Rh 2.75
3 Rh 0.0000 0.0000 0.5000  2 H 1.95
4 Rh 0.0000 0.5000 0.0000  2 H 1.95
5 Rh 0.5000 0.0000 0.0000  2 H 1.95

(2)
Compound: DyBiSe
Source: Alexandria
Functional: PBE
Structure: optimized geometry

Its space group is I4mm (107). The electronic total energy comes out at -4.99 eV/atom. For the magnetic moment, the calculation gives 0.000 μB per atom. The value obtained for the density of states at the Fermi level is 2.213 states/eV/f.u. As for the formation energy without anion corrections: -1.00 eV/atom.

Unit cell a=6.5119 b=6.5119 c=6.5119 alpha=146.75 beta=146.75 gamma=47.74
Last column: nearest neighbours and their distance in Å.
Sites, in units of the cell vectors:
1 Dy 0.0000 0.0000 0.0000  4 Se 2.85
2 Bi 0.3059 0.3059 0.0000  5 Se 3.41-3.66, 5 Dy 3.50-3.64, 4 Bi 3.73
3 Se 0.5923 0.5923 0.0000  4 Dy 2.85